No. 1
This record from Alexandria via LeMat-Bulk describes AgSnBi2H after structural relaxation. The functional is GGA-PBE.

Unit cell a=5.907 b=5.907 c=5.236 alpha=90.00 beta=90.00 gamma=90.00
Space group P4/mmm (No. 123)
Inequivalent atoms, fractional coordinates:
Ag (0.000, 0.000, 0.000)
Sn (0.000, 0.000, 0.500)
Bi (0.000, 0.500, 0.500)
H (0.500, 0.500, 0.000)

Properties
The calculation puts the calculated volume at 182.7 Å³ per cell. The offset from the most stable computed form comes out at 0.836 eV/atom. For the total energy, the calculation gives -12.8 eV/f.u.

***

No. 2
This record from Alexandria via LeMat-Bulk describes TbTe2S6 after structural relaxation. The functional is GGA-PBE.

Unit cell a=7.895 b=8.012 c=8.968 alpha=72.42 beta=65.63 gamma=79.21
Space group P-1 (No. 2)
Inequivalent atoms, fractional coordinates:
Tb (0.183, 0.353, 0.153)
Te (0.137, 0.199, 0.676)
Te (0.363, 0.806, 0.339)
S (0.119, 0.396, 0.850)
S (0.129, 0.857, 0.599)
S (0.259, 0.008, 0.131)
S (0.272, 0.396, 0.408)
S (0.401, 0.999, 0.714)
S (0.430, 0.623, 0.015)

Properties
The calculation puts the calculated volume at 491.3 Å³ per cell. For the total energy, the calculation gives -39.2 eV/f.u. The uncorrected formation energy comes out at -3.47 eV/f.u.

***

No. 3
This record from Alexandria via LeMat-Bulk describes CaThGaRh after structural relaxation. The functional is GGA-PBE.

Unit cell a=7.173 b=7.173 c=7.173 alpha=90.00 beta=90.00 gamma=90.00
Space group F-43m (No. 216)
Inequivalent atoms, fractional coordinates:
Ca (0.000, 0.000, 0.000)
Th (0.000, 0.000, 0.500)
Ga (0.250, 0.250, 0.750)
Rh (0.250, 0.250, 0.250)

Properties
The calculation puts the calculated volume at 369.0 Å³ per cell. The energy of formation from the pure elements comes out at -0.474 eV/atom. For the total energy, the calculation gives -21.7 eV/f.u.

***

No. 4
This record from Alexandria via LeMat-Bulk describes Pm3Dy2TaN6 after structural relaxation. The functional is GGA-PBE.

Unit cell a=5.975 b=10.340 c=6.018 alpha=90.00 beta=109.28 gamma=90.00
Space group C2/m (No. 12)
Inequivalent atoms, fractional coordinates:
Pm (0.000, 0.000, 0.000)
Pm (0.000, 0.333, 0.000)
Dy (0.000, 0.167, 0.500)
Ta (0.000, 0.500, 0.500)
N (0.227, 0.347, 0.721)
N (0.233, 0.500, 0.273)

Properties
The calculation puts the calculated volume at 350.9 Å³ per cell. For the total energy, the calculation gives -103.1 eV/f.u. The uncorrected formation energy comes out at -17.83 eV/f.u.

***

No. 5
This record from Alexandria via LeMat-Bulk describes NaScSn after structural relaxation. The functional is GGA-PBE.

Unit cell a=3.394 b=4.989 c=8.722 alpha=90.00 beta=101.05 gamma=90.00
Space group P2_1/m (No. 11)
Inequivalent atoms, fractional coordinates:
Na (0.232, 0.250, 0.463)
Sc (0.437, 0.750, 0.886)
Sn (0.103, 0.750, 0.202)

Properties
The calculation puts the calculated volume at 144.9 Å³ per cell. The energy of formation from the pure elements comes out at -0.314 eV/atom. For the total energy, the calculation gives -12.6 eV/f.u.

***

No. 6
This record from Alexandria via LeMat-Bulk describes YHS2 after structural relaxation. The functional is GGA-PBE.

Unit cell a=4.097 b=6.050 c=6.767 alpha=90.00 beta=90.00 gamma=90.00
Space group Pmn2_1 (No. 31)
Inequivalent atoms, fractional coordinates:
Y (0.000, 0.216, 0.000)
H (0.000, 0.333, 0.465)
S (0.000, 0.014, 0.650)
S (0.000, 0.508, 0.334)

Properties
The calculation puts the calculated volume at 167.7 Å³ per cell. The offset from the most stable computed form comes out at 0.000 eV/atom. For the total energy, the calculation gives -23.4 eV/f.u.

***

No. 7
This record from Alexandria via LeMat-Bulk describes Ge2PdI after structural relaxation. The functional is GGA-PBE.

Unit cell a=7.004 b=7.004 c=7.004 alpha=90.00 beta=90.00 gamma=90.00
Space group Fm-3m (No. 225)
Inequivalent atoms, fractional coordinates:
Ge (0.250, 0.250, 0.250)
Pd (0.000, 0.000, 0.000)
I (0.000, 0.000, 0.500)

Properties
The calculation puts the calculated volume at 343.6 Å³ per cell. The offset from the most stable computed form comes out at 0.375 eV/atom. For the total energy, the calculation gives -14.1 eV/f.u. The uncorrected formation energy comes out at 1.90 eV/f.u.

***

No. 8
This record from Alexandria via LeMat-Bulk describes PmDyTlSi after structural relaxation. The functional is GGA-PBE.

Unit cell a=7.413 b=7.413 c=7.413 alpha=90.00 beta=90.00 gamma=90.00
Space group F-43m (No. 216)
Inequivalent atoms, fractional coordinates:
Pm (0.000, 0.000, 0.000)
Dy (0.000, 0.000, 0.500)
Tl (0.250, 0.250, 0.250)
Si (0.250, 0.250, 0.750)

Properties
The calculation puts the calculated volume at 407.4 Å³ per cell. For the total energy, the calculation gives -18.5 eV/f.u. The uncorrected formation energy comes out at -1.33 eV/f.u.

***

No. 9
This record from Alexandria via LeMat-Bulk describes AlBAsBr2 after structural relaxation. The functional is GGA-PBE.

Unit cell a=4.909 b=4.909 c=4.382 alpha=90.00 beta=90.00 gamma=90.00
Space group P4/mmm (No. 123)
Inequivalent atoms, fractional coordinates:
Al (0.000, 0.000, 0.000)
B (0.500, 0.500, 0.500)
As (0.500, 0.500, 0.000)
Br (0.000, 0.500, 0.500)

Properties
The calculation puts the calculated volume at 105.6 Å³ per cell. The offset from the most stable computed form comes out at 0.000 eV/atom. For the total energy, the calculation gives -15.1 eV/f.u. The uncorrected formation energy comes out at 3.27 eV/f.u.

***

No. 10
This record from Alexandria via LeMat-Bulk describes Na4Ce3ErS8 after structural relaxation. The functional is GGA-PBE.

Unit cell a=8.1850 b=8.1850 c=19.9945 alpha=90.00 beta=90.00 gamma=120.00
Space group R-3m (No. 166, hexagonal axes)
Inequivalent atoms, fractional coordinates:
Na (0.0000, 0.0000, 0.0000)
Na (0.0000, 0.5000, 0.0000)
Ce (0.0000, 0.5000, 0.5000)
Er (0.0000, 0.0000, 0.5000)
S (0.0000, 0.0000, 0.2447)
S (0.0092, 0.5046, 0.2431)

Properties
The calculation puts the calculated volume at 1160.0 Å³ per cell. For the total energy, the calculation gives -88.8 eV/f.u. The uncorrected formation energy comes out at -28.11 eV/f.u.

***

No. 11
This record from Alexandria via LeMat-Bulk describes SrPCS2 after structural relaxation. The functional is GGA-PBE.

Unit cell a=4.858 b=4.858 c=3.799 alpha=90.00 beta=90.00 gamma=90.00
Space group P4/mmm (No. 123)
Inequivalent atoms, fractional coordinates:
Sr (0.000, 0.000, 0.000)
P (0.500, 0.500, 0.000)
C (0.500, 0.500, 0.500)
S (0.000, 0.500, 0.500)

Properties
The calculation puts the calculated volume at 89.7 Å³ per cell. The offset from the most stable computed form comes out at 0.000 eV/atom. For the total energy, the calculation gives -23.2 eV/f.u. The uncorrected formation energy comes out at 1.33 eV/f.u.

***

No. 12
This record from Alexandria via LeMat-Bulk describes Cs2InAu2 after structural relaxation. The functional is GGA-PBE.

Unit cell a=11.880 b=7.254 c=8.679 alpha=90.00 beta=102.59 gamma=90.00
Space group C2/c (No. 15)
Inequivalent atoms, fractional coordinates:
Cs (0.144, 0.127, 0.132)
In (0.000, 0.411, 0.750)
Au (0.138, 0.361, 0.499)

Properties
The calculation puts the calculated volume at 730.0 Å³ per cell. The energy of formation from the pure elements comes out at -0.253 eV/atom. The offset from the most stable computed form comes out at 0.023 eV/atom. For the total energy, the calculation gives -12.3 eV/f.u.

***

No. 13
This record from Alexandria via LeMat-Bulk describes ThU2P4 after structural relaxation. The functional is GGA-PBE.

Unit cell a=3.968 b=13.063 c=12.663 alpha=90.00 beta=90.00 gamma=90.00
Space group Cmcm (No. 63)
Inequivalent atoms, fractional coordinates:
Th (0.000, 0.113, 0.250)
U (0.000, 0.367, 0.062)
P (0.000, 0.000, 0.000)
P (0.000, 0.266, 0.626)
P (0.000, 0.456, 0.250)

Properties
The calculation puts the calculated volume at 656.4 Å³ per cell. The energy of formation from the pure elements comes out at -0.880 eV/atom. For the total energy, the calculation gives -57.8 eV/f.u.

***

No. 14
This record from Alexandria via LeMat-Bulk describes Cd2FeTe after structural relaxation. The functional is GGA-PBE.

Unit cell a=3.955 b=3.955 c=5.542 alpha=90.00 beta=90.00 gamma=90.00
Space group P4/mmm (No. 123)
Inequivalent atoms, fractional coordinates:
Cd (0.000, 0.000, 0.239)
Fe (0.500, 0.500, 0.000)
Te (0.500, 0.500, 0.500)

Properties
The calculation puts the calculated volume at 86.7 Å³ per cell. For the total energy, the calculation gives -12.1 eV/f.u. The uncorrected formation energy comes out at 1.38 eV/f.u.

***

No. 15
This record from Alexandria via LeMat-Bulk describes BaErTlSn after structural relaxation. The functional is GGA-PBE.

Unit cell a=8.019 b=8.019 c=8.019 alpha=90.00 beta=90.00 gamma=90.00
Space group F-43m (No. 216)
Inequivalent atoms, fractional coordinates:
Ba (0.000, 0.000, 0.000)
Er (0.000, 0.000, 0.500)
Tl (0.250, 0.250, 0.250)
Sn (0.250, 0.250, 0.750)

Properties
The calculation puts the calculated volume at 515.6 Å³ per cell. The energy of formation from the pure elements comes out at -0.344 eV/atom. For the total energy, the calculation gives -14.2 eV/f.u.

***

No. 16
This record from Alexandria via LeMat-Bulk describes Pr12Pb3O5 after structural relaxation. The functional is GGA-PBE.

Unit cell a=16.418 b=16.418 c=16.418 alpha=90.00 beta=90.00 gamma=90.00
Space group Ia-3d (No. 230)
Inequivalent atoms, fractional coordinates:
Pr (0.040, 0.049, 0.647)
Pb (0.000, 0.250, 0.125)
O (0.000, 0.000, 0.000)
O (0.000, 0.250, 0.375)

Properties
The calculation puts the calculated volume at 4425.5 Å³ per cell. For the total energy, the calculation gives -123.4 eV/f.u. The uncorrected formation energy comes out at -30.11 eV/f.u.

***

No. 17
This record from Alexandria via LeMat-Bulk describes BeCoPt4 after structural relaxation. The functional is GGA-PBE.

Unit cell a=7.333 b=7.333 c=7.333 alpha=90.00 beta=90.00 gamma=90.00
Space group F-43m (No. 216)
Inequivalent atoms, fractional coordinates:
Be (0.000, 0.000, 0.000)
Co (0.250, 0.250, 0.250)
Pt (0.125, 0.125, 0.625)

Properties
The calculation puts the calculated volume at 394.4 Å³ per cell. The energy of formation from the pure elements comes out at 0.406 eV/atom. For the total energy, the calculation gives -32.6 eV/f.u.

***

No. 18
This record from Alexandria via LeMat-Bulk describes In3HgI3 after structural relaxation. The functional is GGA-PBE.

Unit cell a=9.564 b=9.564 c=9.564 alpha=90.00 beta=90.00 gamma=90.00
Space group Pm-3n (No. 223)
Inequivalent atoms, fractional coordinates:
In (0.000, 0.250, 0.500)
Hg (0.000, 0.000, 0.000)
I (0.000, 0.500, 0.250)

Properties
The calculation puts the calculated volume at 874.7 Å³ per cell. The offset from the most stable computed form comes out at 0.080 eV/atom. For the total energy, the calculation gives -15.2 eV/f.u. The uncorrected formation energy comes out at -2.01 eV/f.u.

***

No. 19
This record from Alexandria via LeMat-Bulk describes TlCoMoCl6 after structural relaxation. The functional is GGA-PBE.

Unit cell a=6.394 b=11.099 c=7.199 alpha=90.00 beta=90.19 gamma=90.00
Space group C2 (No. 5)
Inequivalent atoms, fractional coordinates:
Tl (0.000, 0.000, 0.000)
Co (0.000, 0.667, 0.500)
Mo (0.000, 0.333, 0.500)
Cl (0.127, 0.499, 0.695)
Cl (0.184, 0.184, 0.694)
Cl (0.184, 0.816, 0.692)

Properties
The calculation puts the calculated volume at 510.9 Å³ per cell. For the total energy, the calculation gives -38.4 eV/f.u. The uncorrected formation energy comes out at -7.00 eV/f.u.

***

No. 20
This record from Alexandria via LeMat-Bulk describes NaLaPrAg after structural relaxation. The functional is GGA-PBE.

Unit cell a=7.833 b=7.833 c=7.833 alpha=90.00 beta=90.00 gamma=90.00
Space group F-43m (No. 216)
Inequivalent atoms, fractional coordinates:
Na (0.000, 0.000, 0.000)
La (0.250, 0.250, 0.750)
Pr (0.250, 0.250, 0.250)
Ag (0.000, 0.000, 0.500)

Properties
The calculation puts the calculated volume at 480.6 Å³ per cell. The energy of formation from the pure elements comes out at 0.082 eV/atom. For the total energy, the calculation gives -13.5 eV/f.u.

***

No. 21
This record from Alexandria via LeMat-Bulk describes Ti3RuBr after structural relaxation. The functional is GGA-PBE.

Unit cell a=4.555 b=4.555 c=4.555 alpha=90.00 beta=90.00 gamma=90.00
Space group Pm-3m (No. 221)
Inequivalent atoms, fractional coordinates:
Ti (0.000, 0.000, 0.500)
Ru (0.500, 0.500, 0.500)
Br (0.000, 0.000, 0.000)

Properties
The calculation puts the calculated volume at 94.5 Å³ per cell. The offset from the most stable computed form comes out at 0.310 eV/atom. For the total energy, the calculation gives -31.1 eV/f.u. The uncorrected formation energy comes out at 3.53 eV/f.u.